Here is a geometry-optimized LuZrSb structure from Alexandria. Energies are from PBE.

Cell lengths 3.777, 3.777, 10.200 Å; angles 90.00, 90.00, 90.00 degrees
Space group I4mm (No. 107)
Asymmetric unit:
Lu: 0.000 0.000 0.000 x2
Zr: 0.000 0.000 0.320 x2
Sb: 0.000 0.000 0.674 x2

Properties
Excess energy over the best structure of this formula in the dataset = 171.0 meV per atom
Formation energy from raw total energies = -1.7 eV per formula unit